## A
Ac2PbBr | PBE | optimized geometry

abc: 4.009 4.009 8.484
angles: 90.00 90.00 90.00
Fractional coordinates of all 4 atoms:
Ac (0.000, 0.000, 0.242)
Ac (0.000, 0.000, 0.758)
Pb (0.500, 0.500, 0.000)
Br (0.500, 0.500, 0.500)

Summary:
Density of states at the Fermi level ... 1.0040 states/eV per atom
Space-group type ... P4/mmm, No. 123
Spin magnetization ... 0.0 Bohr magnetons per cell

## B
Ac2PbBr | PBE | optimized geometry

abc: 5.765 5.765 5.765
angles: 60.00 60.00 60.00
Fractional coordinates of all 4 atoms:
Ac (0.250, 0.250, 0.250)
Ac (0.750, 0.750, 0.750)
Pb (0.000, 0.000, 0.000)
Br (0.500, 0.500, 0.500)

Summary:
Density of states at the Fermi level ... 0.6845 states/eV per atom
Space-group type ... Fm-3m, No. 225
Spin magnetization ... 0.0 Bohr magnetons per cell

Relative energies, in kJ/mol of atoms, with the most stable structure set to zero: A 8.7; B 0.0.